Record 1
# LaCdAg2 (PBE, optimized geometry)
# - Spin magnetization: 0.0 Bohr magnetons per cell
# - DFT formation energy: -293 meV/atom
data_LaCdAg2
_chemical_formula_sum 'La2 Cd2 Ag4'
_cell_length_a 5.1399
_cell_length_b 7.0462
_cell_length_c 5.2460
_cell_angle_alpha 90.00
_cell_angle_beta 90.00
_cell_angle_gamma 90.00
_symmetry_space_group_name_H-M 'P m m n'
_symmetry_Int_Tables_number 59
loop_
_symmetry_equiv_pos_as_xyz
'x,y,z'
'-x,-y,-z'
'-x+1/2,-y+1/2,z'
'x+1/2,y+1/2,-z'
'x+1/2,-y,-z'
'-x+1/2,y,z'
'-x,y+1/2,-z'
'x,-y+1/2,z'
loop_
_atom_site_label
_atom_site_type_symbol
_atom_site_fract_x
_atom_site_fract_y
_atom_site_fract_z
La1 La 0.2500 0.2500 0.1947
Cd1 Cd 0.2500 0.7500 0.2316
Ag1 Ag 0.2500 0.0010 0.6918


Record 2
# HfZrCo (PBE, optimized geometry)
# - Spin magnetization: 0.0 Bohr magnetons per cell
# - DFT formation energy: -278 meV/atom
# - E above lowest polymorph: 0 meV/atom
data_HfZrCo
_chemical_formula_sum 'Hf4 Zr4 Co4'
_cell_length_a 5.5217
_cell_length_b 6.3051
_cell_length_c 6.2825
_cell_angle_alpha 90.00
_cell_angle_beta 90.00
_cell_angle_gamma 90.00
_symmetry_space_group_name_H-M 'I m a 2'
_symmetry_Int_Tables_number 46
loop_
_symmetry_equiv_pos_as_xyz
'x,y,z'
'-x,-y,z'
'-x+1/2,y,z'
'x+1/2,-y,z'
'x+1/2,y+1/2,z+1/2'
'-x+1/2,-y+1/2,z+1/2'
'-x,y+1/2,z+1/2'
'x,-y+1/2,z+1/2'
loop_
_atom_site_label
_atom_site_type_symbol
_atom_site_fract_x
_atom_site_fract_y
_atom_site_fract_z
Hf1 Hf 0.2500 0.1749 0.0000
Zr1 Zr 0.2500 0.6723 0.8475
Co1 Co 0.0000 0.0000 0.6782


Record 3
# NpCo2Ge2 (PBE, optimized geometry)
# - Spin magnetization: 2.5 Bohr magnetons per cell
# - VASP energy: -7.378 eV per atom
data_NpCo2Ge2
_chemical_formula_sum 'Np2 Co4 Ge4'
_cell_length_a 3.9929
_cell_length_b 3.9929
_cell_length_c 9.7425
_cell_angle_alpha 90.00
_cell_angle_beta 90.00
_cell_angle_gamma 90.00
_symmetry_space_group_name_H-M 'I 4/m m m'
_symmetry_Int_Tables_number 139
_symmetry_space_group_name_Hall '-I 4 2'
loop_
_atom_site_label
_atom_site_type_symbol
_atom_site_fract_x
_atom_site_fract_y
_atom_site_fract_z
Np1 Np 0.0000 0.0000 0.0000
Co1 Co 0.0000 0.5000 0.2500
Ge1 Ge 0.0000 0.0000 0.3736


Record 4
# AlFeAs (PBE, optimized geometry)
# - Spin magnetization: 4.0 Bohr magnetons per cell
# - VASP energy: -5.685 eV per atom
data_AlFeAs
_chemical_formula_sum 'Al4 Fe4 As4'
_cell_length_a 5.6491
_cell_length_b 5.6491
_cell_length_c 5.6491
_cell_angle_alpha 90.00
_cell_angle_beta 90.00
_cell_angle_gamma 90.00
_symmetry_space_group_name_H-M 'F -4 3 m'
_symmetry_Int_Tables_number 216
_symmetry_space_group_name_Hall 'F -4 2 3'
loop_
_atom_site_label
_atom_site_type_symbol
_atom_site_fract_x
_atom_site_fract_y
_atom_site_fract_z
Al1 Al 0.0000 0.0000 0.0000
Fe1 Fe 0.2500 0.2500 0.2500
As1 As 0.0000 0.0000 0.5000


Record 5
# DyTlB (PBE, optimized geometry)
# - Spin magnetization: 0.0 Bohr magnetons per cell
# - E above lowest polymorph: 641 meV/atom
data_DyTlB
_chemical_formula_sum 'Dy4 Tl4 B4'
_cell_length_a 6.6143
_cell_length_b 6.6143
_cell_length_c 6.6143
_cell_angle_alpha 90.00
_cell_angle_beta 90.00
_cell_angle_gamma 90.00
_symmetry_space_group_name_H-M 'F -4 3 m'
_symmetry_Int_Tables_number 216
_symmetry_space_group_name_Hall 'F -4 2 3'
loop_
_atom_site_label
_atom_site_type_symbol
_atom_site_fract_x
_atom_site_fract_y
_atom_site_fract_z
Dy1 Dy 0.0000 0.0000 0.0000
Tl1 Tl 0.2500 0.2500 0.2500
B1 B 0.2500 0.2500 0.7500


Record 6
# SrZn2InSi (PBE, optimized geometry)
# - VASP energy: -2.742 eV per atom
data_SrZn2InSi
_chemical_formula_sum 'Sr2 Zn4 In2 Si2'
_cell_length_a 4.3699
_cell_length_b 4.3699
_cell_length_c 11.3999
_cell_angle_alpha 90.00
_cell_angle_beta 90.00
_cell_angle_gamma 90.00
_symmetry_space_group_name_H-M 'I 4 m m'
_symmetry_Int_Tables_number 107
_symmetry_space_group_name_Hall 'I 4 -2'
loop_
_atom_site_label
_atom_site_type_symbol
_atom_site_fract_x
_atom_site_fract_y
_atom_site_fract_z
Sr1 Sr 0.0000 0.0000 0.0000
Zn1 Zn 0.0000 0.5000 0.2289
In1 In 0.0000 0.0000 0.3737
Si1 Si 0.0000 0.0000 0.6093


Record 7
# KW2N2Cl6 (PBE, optimized geometry)
# - Spin magnetization: 2.0 Bohr magnetons per cell
# - VASP energy: -5.766 eV per atom
data_KW2N2Cl6
_chemical_formula_sum 'K2 W4 N4 Cl12'
_cell_length_a 13.1928
_cell_length_b 3.7893
_cell_length_c 10.6495
_cell_angle_alpha 90.00
_cell_angle_beta 107.04
_cell_angle_gamma 90.00
_symmetry_space_group_name_H-M 'C 1 2/m 1'
_symmetry_Int_Tables_number 12
loop_
_symmetry_equiv_pos_as_xyz
'x,y,z'
'-x,-y,-z'
'-x,y,-z'
'x,-y,z'
'x+1/2,y+1/2,z'
'-x+1/2,-y+1/2,-z'
'-x+1/2,y+1/2,-z'
'x+1/2,-y+1/2,z'
loop_
_atom_site_label
_atom_site_type_symbol
_atom_site_fract_x
_atom_site_fract_y
_atom_site_fract_z
K1 K 0.0000 0.0000 0.0000
W1 W 0.0042 0.5000 0.6580
N1 N 0.0023 0.0000 0.6372
Cl1 Cl 0.1259 0.5000 0.2287
Cl2 Cl 0.1376 0.5000 0.8619
Cl3 Cl 0.1474 0.5000 0.5495


Record 8
# YTaPO (PBE, optimized geometry)
# - Spin magnetization: 0.0 Bohr magnetons per cell
# - E above lowest polymorph: 0 meV/atom
data_YTaPO
_chemical_formula_sum 'Y2 Ta2 P2 O2'
_cell_length_a 3.9327
_cell_length_b 3.9327
_cell_length_c 8.7510
_cell_angle_alpha 90.00
_cell_angle_beta 90.00
_cell_angle_gamma 90.00
_symmetry_space_group_name_H-M 'P 4/n m m'
_symmetry_Int_Tables_number 129
loop_
_symmetry_equiv_pos_as_xyz
'x,y,z'
'-x,-y,-z'
'-y+1/2,x,z'
'y+1/2,-x,-z'
'-x+1/2,-y+1/2,z'
'x+1/2,y+1/2,-z'
'y,-x+1/2,z'
'-y,x+1/2,-z'
'x+1/2,-y,-z'
'-x+1/2,y,z'
'-y,-x,-z'
'y,x,z'
'-x,y+1/2,-z'
'x,-y+1/2,z'
'y+1/2,x+1/2,-z'
'-y+1/2,-x+1/2,z'
loop_
_atom_site_label
_atom_site_type_symbol
_atom_site_fract_x
_atom_site_fract_y
_atom_site_fract_z
Y1 Y 0.2500 0.2500 0.1263
Ta1 Ta 0.2500 0.7500 0.5000
P1 P 0.2500 0.2500 0.6892
O1 O 0.2500 0.7500 0.0000


Record 9
# Ni3Pd (PBE, optimized geometry)
# - Spin magnetization: 4.6 Bohr magnetons per cell
# - DFT formation energy: 43 meV/atom
data_Ni3Pd
_chemical_formula_sum 'Ni6 Pd2'
_cell_length_a 5.1454
_cell_length_b 5.1454
_cell_length_c 4.1688
_cell_angle_alpha 90.00
_cell_angle_beta 90.00
_cell_angle_gamma 120.00
_symmetry_space_group_name_H-M 'P 63/m m c'
_symmetry_Int_Tables_number 194
_symmetry_space_group_name_Hall '-P 6c 2c'
loop_
_atom_site_label
_atom_site_type_symbol
_atom_site_fract_x
_atom_site_fract_y
_atom_site_fract_z
Ni1 Ni 0.1614 0.3229 0.2500
Pd1 Pd 0.3333 0.6667 0.7500


Record 10
# NbBW2 (PBE, optimized geometry)
# - Spin magnetization: 0.0 Bohr magnetons per cell
# - VASP energy: -10.280 eV per atom
data_NbBW2
_chemical_formula_sum 'Nb4 B4 W8'
_cell_length_a 3.0004
_cell_length_b 5.1956
_cell_length_c 15.7549
_cell_angle_alpha 90.00
_cell_angle_beta 90.00
_cell_angle_gamma 90.00
_symmetry_space_group_name_H-M 'C m c m'
_symmetry_Int_Tables_number 63
_symmetry_space_group_name_Hall '-C 2c 2'
loop_
_atom_site_label
_atom_site_type_symbol
_atom_site_fract_x
_atom_site_fract_y
_atom_site_fract_z
Nb1 Nb 0.0000 0.1700 0.2500
B1 B 0.0000 0.5000 0.0000
W1 W 0.0000 0.1666 0.0816


Record 11
# KYHg (PBE, optimized geometry)
# - Spin magnetization: 0.1 Bohr magnetons per cell
# - E above lowest polymorph: 0 meV/atom
data_KYHg
_chemical_formula_sum 'K4 Y4 Hg4'
_cell_length_a 7.6048
_cell_length_b 7.6048
_cell_length_c 7.6048
_cell_angle_alpha 90.00
_cell_angle_beta 90.00
_cell_angle_gamma 90.00
_symmetry_space_group_name_H-M 'F -4 3 m'
_symmetry_Int_Tables_number 216
_symmetry_space_group_name_Hall 'F -4 2 3'
loop_
_atom_site_label
_atom_site_type_symbol
_atom_site_fract_x
_atom_site_fract_y
_atom_site_fract_z
K1 K 0.0000 0.0000 0.0000
Y1 Y 0.0000 0.0000 0.5000
Hg1 Hg 0.2500 0.2500 0.2500


Record 12
# GdErGe2Os (PBE, optimized geometry)
# - Spin magnetization: 0.0 Bohr magnetons per cell
# - VASP energy: -6.636 eV per atom
data_GdErGe2Os
_chemical_formula_sum 'Gd4 Er4 Ge8 Os4'
_cell_length_a 10.7495
_cell_length_b 4.2987
_cell_length_c 10.1614
_cell_angle_alpha 90.00
_cell_angle_beta 118.04
_cell_angle_gamma 90.00
_symmetry_space_group_name_H-M 'C 1 2/m 1'
_symmetry_Int_Tables_number 12
loop_
_symmetry_equiv_pos_as_xyz
'x,y,z'
'-x,-y,-z'
'-x,y,-z'
'x,-y,z'
'x+1/2,y+1/2,z'
'-x+1/2,-y+1/2,-z'
'-x+1/2,y+1/2,-z'
'x+1/2,-y+1/2,z'
loop_
_atom_site_label
_atom_site_type_symbol
_atom_site_fract_x
_atom_site_fract_y
_atom_site_fract_z
Gd1 Gd 0.1852 0.0000 0.1136
Er1 Er 0.0012 0.0000 0.6726
Ge1 Ge 0.0116 0.5000 0.8732
Ge2 Ge 0.1423 0.5000 0.5630
Os1 Os 0.2296 0.5000 0.3706